[1]
{
  "formula": "GdLuBi",
  "functional": "PBE",
  "state": "optimized geometry",
  "de_polymorph_ev_per_atom": 0.000,
  "space_group": "F-43m",
  "cell": [[-1.632, -0.895, 4.790], [-4.950, 0.686, 1.198], [-2.994, -4.060, 0.978]],
  "species": ["Bi", "Lu", "Gd"],
  "fractional_positions": [[0.000, 0.000, 0.000], [0.750, 0.750, 0.750], [0.250, 0.250, 0.250]]
}

[2]
{
  "formula": "NdDy2Cd3Au3",
  "functional": "PBE",
  "state": "optimized geometry",
  "space_group": "Amm2",
  "ef_ev_per_fu": -5.9,
  "cell": [[3.967, 0.000, 0.000], [0.000, 6.804, 3.901], [0.000, -6.804, 3.901]],
  "species": ["Nd", "Dy", "Dy", "Cd", "Cd", "Cd", "Au", "Au", "Au"],
  "fractional_positions": [[0.000, 0.596, 0.596], [0.000, 0.000, 0.404], [0.000, 0.404, 0.000], [0.500, 0.739, 0.002], [0.500, 0.260, 0.260], [0.500, 0.002, 0.739], [0.500, 0.328, 0.668], [0.500, 0.668, 0.328], [0.000, 0.002, 0.002]]
}